(1)
Below is ScCu2Ir after structural relaxation, with properties calculated at the PBEsol level. Values from VASP.

Geometry as Quantum ESPRESSO input:
```
&SYSTEM
  ibrav = 0, nat = 4, ntyp = 3
/
ATOMIC_SPECIES
Cu 63.55 Cu.upf
Ir 192.22 Ir.upf
Sc 44.96 Sc.upf
CELL_PARAMETERS angstrom
-0.147 1.737 -3.307
1.381 -3.049 -1.663
-3.668 -1.361 -0.552
ATOMIC_POSITIONS crystal
Cu 0.500 0.000 0.000
Ir 0.500 0.500 0.500
Cu 0.000 0.500 0.000
Sc 0.000 0.000 0.500
```

Calculated values
Magnetic moment ... 0.0 μB per cell
E_tot ... -6.681 eV per atom
Formation energy from the elements ... -407 meV per atom
Polymorph energy (0 for the lowest one) ... 0.000 kcal/mol of atoms
SG ... No. 123

(2)
Below is IrOs3 after structural relaxation, with properties calculated at the PBEsol level. Values from VASP.

Geometry as Quantum ESPRESSO input:
```
&SYSTEM
  ibrav = 0, nat = 4, ntyp = 2
/
ATOMIC_SPECIES
Os 190.23 Os.upf
Ir 192.22 Ir.upf
CELL_PARAMETERS angstrom
2.726 0.000 0.000
0.000 4.326 0.000
0.000 0.000 4.729
ATOMIC_POSITIONS crystal
Os 0.500 0.000 0.501
Os 0.000 0.500 0.333
Os 0.500 0.500 0.833
Ir 0.000 0.000 0.000
```

Calculated values
Magnetic moment ... 0.0 μB per cell
E_tot ... -11.616 eV per atom
Formation energy from the elements ... 1 meV per atom
SG ... No. 25

(3)
Below is RePtW2 after structural relaxation, with properties calculated at the PBEsol level. Values from VASP.

Geometry as Quantum ESPRESSO input:
```
&SYSTEM
  ibrav = 0, nat = 4, ntyp = 3
/
ATOMIC_SPECIES
Re 186.21 Re.upf
Pt 195.08 Pt.upf
W 183.84 W.upf
CELL_PARAMETERS angstrom
2.743 0.000 0.000
0.000 4.843 0.000
0.000 -1.665 4.547
ATOMIC_POSITIONS crystal
Re 0.500 0.000 0.000
Pt 0.500 0.500 0.500
W 0.000 0.500 0.000
W 0.000 0.000 0.500
```

Calculated values
Magnetic moment ... 0.0 μB per cell
E_tot ... -12.033 eV per atom
Formation energy from the elements ... -55 meV per atom
Polymorph energy (0 for the lowest one) ... 1.033 kcal/mol of atoms
SG ... No. 65

(4)
Below is Ba2Li2Tl after structural relaxation, with properties calculated at the PBEsol level. Values from VASP.

Geometry as Quantum ESPRESSO input:
```
&SYSTEM
  ibrav = 0, nat = 10, ntyp = 3
/
ATOMIC_SPECIES
Li 6.94 Li.upf
Tl 204.38 Tl.upf
Ba 137.33 Ba.upf
CELL_PARAMETERS angstrom
5.515 0.000 0.000
0.000 7.618 0.000
0.000 0.000 7.618
ATOMIC_POSITIONS crystal
Li 0.000 0.868 0.632
Tl 0.000 0.000 0.000
Li 0.000 0.368 0.868
Li 0.000 0.632 0.132
Li 0.000 0.132 0.368
Ba 0.500 0.696 0.804
Ba 0.500 0.196 0.696
Ba 0.500 0.804 0.304
Ba 0.500 0.304 0.196
Tl 0.000 0.500 0.500
```

Calculated values
Magnetic moment ... 0.0 μB per cell
E_tot ... -2.292 eV per atom
Formation energy from the elements ... -120 meV per atom
Polymorph energy (0 for the lowest one) ... 0.305 kcal/mol of atoms
SG ... No. 127

(5)
Below is Zr3MnSb after structural relaxation, with properties calculated at the PBEsol level. Values from VASP.

Geometry as Quantum ESPRESSO input:
```
&SYSTEM
  ibrav = 0, nat = 5, ntyp = 3
/
ATOMIC_SPECIES
Zr 91.22 Zr.upf
Sb 121.76 Sb.upf
Mn 54.94 Mn.upf
CELL_PARAMETERS angstrom
5.209 0.000 0.000
0.000 5.209 0.000
0.000 0.000 5.209
ATOMIC_POSITIONS crystal
Zr 0.000 0.000 0.500
Sb 0.000 0.000 0.000
Zr 0.000 0.500 0.000
Mn 0.500 0.500 0.500
Zr 0.500 0.000 0.000
```

Calculated values
Magnetic moment ... 3.9 μB per cell
E_tot ... -7.306 eV per atom
ΔE_f (raw) ... 97.6 kJ per mole of atoms
SG ... No. 221

(6)
Below is AgSb2Br2 after structural relaxation, with properties calculated at the PBEsol level. Values from VASP.

Geometry as Quantum ESPRESSO input:
```
&SYSTEM
  ibrav = 0, nat = 10, ntyp = 3
/
ATOMIC_SPECIES
Br 79.90 Br.upf
Sb 121.76 Sb.upf
Ag 107.87 Ag.upf
CELL_PARAMETERS angstrom
-4.116 -0.955 3.550
-3.363 -3.907 -4.950
3.369 -5.855 2.332
ATOMIC_POSITIONS crystal
Br 0.500 0.818 0.682
Sb 0.000 0.354 0.854
Sb 0.000 0.854 0.646
Br 0.500 0.182 0.318
Ag 0.000 0.000 0.000
Br 0.500 0.682 0.182
Sb 0.000 0.146 0.354
Br 0.500 0.318 0.818
Sb 0.000 0.646 0.146
Ag 0.000 0.500 0.500
```

Calculated values
Magnetic moment ... 0.0 μB per cell
E_tot ... -3.396 eV per atom
ΔE_f (raw) ... -15.7 kJ per mole of atoms
SG ... No. 127

(7)
Below is Cd2MoIr after structural relaxation, with properties calculated at the PBEsol level. Values from VASP.

Geometry as Quantum ESPRESSO input:
```
&SYSTEM
  ibrav = 0, nat = 4, ntyp = 3
/
ATOMIC_SPECIES
Cd 112.41 Cd.upf
Mo 95.94 Mo.upf
Ir 192.22 Ir.upf
CELL_PARAMETERS angstrom
-1.618 -2.467 0.324
2.281 -1.976 -3.653
3.253 -1.742 2.973
ATOMIC_POSITIONS crystal
Cd 0.000 0.000 0.500
Mo 0.500 0.000 0.000
Cd 0.000 0.500 0.000
Ir 0.500 0.500 0.500
```

Calculated values
Magnetic moment ... 0.0 μB per cell
E_tot ... -5.358 eV per atom
Formation energy from the elements ... 638 meV per atom
Polymorph energy (0 for the lowest one) ... 6.205 kcal/mol of atoms
SG ... No. 123

(8)
Below is KLa2Au after structural relaxation, with properties calculated at the PBEsol level. Values from VASP.

Geometry as Quantum ESPRESSO input:
```
&SYSTEM
  ibrav = 0, nat = 4, ntyp = 3
/
ATOMIC_SPECIES
Au 196.97 Au.upf
La 138.91 La.upf
K 39.10 K.upf
CELL_PARAMETERS angstrom
-4.492 -3.021 0.023
-1.191 -3.046 4.314
-4.152 1.348 3.202
ATOMIC_POSITIONS crystal
Au 0.500 0.500 0.500
La 0.750 0.750 0.750
K 0.250 0.250 0.250
La 0.000 0.000 0.000
```

Calculated values
Magnetic moment ... 0.0 μB per cell
E_tot ... -3.714 eV per atom
Formation energy from the elements ... 224 meV per atom
Polymorph energy (0 for the lowest one) ... 7.208 kcal/mol of atoms
SG ... No. 216

(9)
Below is LiCdTc2 after structural relaxation, with properties calculated at the PBEsol level. Values from VASP.

Geometry as Quantum ESPRESSO input:
```
&SYSTEM
  ibrav = 0, nat = 4, ntyp = 3
/
ATOMIC_SPECIES
Tc 98.00 Tc.upf
Cd 112.41 Cd.upf
Li 6.94 Li.upf
CELL_PARAMETERS angstrom
4.348 0.000 0.000
2.174 3.768 0.039
2.174 1.218 3.566
ATOMIC_POSITIONS crystal
Tc 0.250 0.250 0.250
Tc 0.000 0.000 0.000
Cd 0.500 0.500 0.500
Li 0.750 0.750 0.750
```

Calculated values
Magnetic moment ... 0.0 μB per cell
E_tot ... -6.121 eV per atom
Formation energy from the elements ... 303 meV per atom
SG ... No. 216

(10)
Below is Ca2ZrMn after structural relaxation, with properties calculated at the PBEsol level. Values from VASP.

Geometry as Quantum ESPRESSO input:
```
&SYSTEM
  ibrav = 0, nat = 4, ntyp = 3
/
ATOMIC_SPECIES
Ca 40.08 Ca.upf
Mn 54.94 Mn.upf
Zr 91.22 Zr.upf
CELL_PARAMETERS angstrom
-2.061 3.757 0.775
-2.509 -0.655 -3.498
-1.141 -4.034 4.285
ATOMIC_POSITIONS crystal
Ca 0.250 0.750 0.500
Mn 0.500 0.500 0.000
Zr 0.000 0.000 0.000
Ca 0.750 0.250 0.500
```

Calculated values
Magnetic moment ... 2.0 μB per cell
E_tot ... -5.147 eV per atom
Formation energy from the elements ... 632 meV per atom
SG ... No. 139

(11)
Below is Ba2HfTePt after structural relaxation, with properties calculated at the PBEsol level. Values from VASP.

Geometry as Quantum ESPRESSO input:
```
&SYSTEM
  ibrav = 0, nat = 5, ntyp = 4
/
ATOMIC_SPECIES
Hf 178.49 Hf.upf
Ba 137.33 Ba.upf
Te 127.60 Te.upf
Pt 195.08 Pt.upf
CELL_PARAMETERS angstrom
5.181 0.000 0.000
0.000 6.099 0.000
0.000 0.000 6.099
ATOMIC_POSITIONS crystal
Hf 0.000 0.000 0.000
Ba 0.000 0.500 0.000
Te 0.500 0.000 0.000
Ba 0.000 0.000 0.500
Pt 0.500 0.500 0.500
```

Calculated values
Magnetic moment ... 0.0 μB per cell
E_tot ... -4.524 eV per atom
ΔE_f (raw) ... 51.5 kJ per mole of atoms
SG ... No. 123

(12)
Below is La2CdSi after structural relaxation, with properties calculated at the PBEsol level. Values from VASP.

Geometry as Quantum ESPRESSO input:
```
&SYSTEM
  ibrav = 0, nat = 4, ntyp = 3
/
ATOMIC_SPECIES
La 138.91 La.upf
Cd 112.41 Cd.upf
Si 28.09 Si.upf
CELL_PARAMETERS angstrom
5.181 0.000 0.000
2.590 4.487 0.000
2.590 1.496 4.230
ATOMIC_POSITIONS crystal
La 0.000 0.000 0.000
La 0.750 0.750 0.750
Cd 0.500 0.500 0.500
Si 0.250 0.250 0.250
```

Calculated values
Magnetic moment ... 0.0 μB per cell
E_tot ... -4.361 eV per atom
ΔE_f (raw) ... 4.6 kJ per mole of atoms
SG ... No. 216